An optimized crystal structure of PaSiNiOs, computed with PBE.

Geometry as POSCAR:
```
PaSiNiOs
1.0
4.357 0.000 0.000
0.000 1.899 4.393
0.000 -1.899 4.393
Pa Si Ni Os
1 1 1 1
Direct
0.000 0.000 0.000
0.500 0.605 0.605
0.500 0.313 0.313
0.000 0.720 0.720
```

Calculated values
For the uncorrected formation energy, the calculation gives -0.21 eV per atom. The value obtained for the calculated density is 11.6 Mg/m³.